1.
Computed, not measured: an optimized crystal structure of FeAgRh2 at the PBE level of DFT.

Cell lengths 4.7635, 4.7635, 4.7770 Å; angles 100.26, 100.26, 33.63 degrees
Fractional positions:
Fe (0.0000, 0.0000, 0.0000)
Ag (0.7538, 0.7538, 0.2482)
Rh (0.2576, 0.2576, 0.7504)
Rh (0.5120, 0.5120, 0.5312)

For the formation energy, the calculation gives 0.214 eV/atom.


2.
Computed, not measured: an optimized crystal structure of FeAg2Rh at the PBE level of DFT.

Cell lengths 2.7426, 2.7426, 9.1323 Å; angles 90.00, 90.00, 113.23 degrees
Fractional positions:
Fe (0.0000, 0.0000, 0.0000)
Ag (0.0000, 0.0000, 0.4791)
Ag (0.5000, 0.5000, 0.7501)
Rh (0.5000, 0.5000, 0.2148)

For the formation energy, the calculation gives 0.208 eV/atom.


3.
Computed, not measured: an optimized crystal structure of FeAg2Rh at the PBE level of DFT.

Cell lengths 4.4676, 4.4676, 4.4676 Å; angles 60.00, 60.00, 60.00 degrees
Fractional positions:
Fe (0.0000, 0.0000, 0.0000)
Ag (0.2500, 0.2500, 0.2500)
Ag (0.7500, 0.7500, 0.7500)
Rh (0.5000, 0.5000, 0.5000)

For the formation energy, the calculation gives 0.425 eV/atom.


4.
Computed, not measured: an optimized crystal structure of FeAg2Rh at the PBE level of DFT.

Cell lengths 5.7621, 5.7621, 5.7621 Å; angles 101.84, 101.84, 126.13 degrees
Fractional positions:
Fe (0.0000, 0.0000, 0.0000)
Fe (0.7500, 0.2500, 0.5000)
Ag (0.1105, 0.1250, 0.4855)
Ag (0.3750, 0.8895, 0.0145)
Ag (0.6395, 0.6250, 0.5145)
Ag (0.8750, 0.3605, 0.9855)
Rh (0.2500, 0.7500, 0.5000)
Rh (0.5000, 0.5000, 0.0000)

For the formation energy, the calculation gives 0.687 eV/atom.


5.
Computed, not measured: an optimized crystal structure of Fe2AgRh at the PBE level of DFT.

Cell lengths 4.6330, 4.6330, 2.7508 Å; angles 90.00, 90.00, 107.67 degrees
Fractional positions:
Fe (0.0000, 0.5000, 0.0000)
Fe (0.5000, 0.0000, 0.0000)
Ag (0.0000, 0.0000, 0.5000)
Rh (0.5000, 0.5000, 0.5000)

For the formation energy, the calculation gives 0.203 eV/atom.


6.
Computed, not measured: an optimized crystal structure of FeAgRh2 at the PBE level of DFT.

Cell lengths 2.8096, 4.5649, 4.6454 Å; angles 90.00, 90.00, 90.00 degrees
Fractional positions:
Fe (0.0000, 0.0000, 0.0000)
Ag (0.5000, 0.0000, 0.5000)
Rh (0.0000, 0.5000, 0.5000)
Rh (0.5000, 0.5000, 0.0000)

For the formation energy, the calculation gives 0.306 eV/atom.


Short version: total energy = -6.291 -5.171 -4.954 -4.692 -6.579 -6.198 eV/atom, in the order given.